No. 1
Density functional theory data (PBE-GGA) for an optimized crystal structure of BeCd2Sn.

Calculated values
Symmetry: Fm-3m
ΔE to the lowest computed polymorph (meV/atom): 117.6
DFT formation energy (eV per atom): 0.5104
Calculated total energy (eV for the cell shown): -7.52

The structure in CIF format:
```
data_BeCd2Sn
_chemical_formula_sum 'Be1 Cd2 Sn1'
_cell_length_a 4.9579
_cell_length_b 4.9579
_cell_length_c 4.9579
_cell_angle_alpha 60.00
_cell_angle_beta 60.00
_cell_angle_gamma 60.00
_space_group_name_H-M_alt 'P 1'
_space_group_IT_number 1
_space_group_name_Hall 'P 1'
loop_
_atom_site_label
_atom_site_type_symbol
_atom_site_fract_x
_atom_site_fract_y
_atom_site_fract_z
Be1 Be 0.0000 0.0000 0.0000
Cd1 Cd 0.2500 0.2500 0.2500
Cd2 Cd 0.7500 0.7500 0.7500
Sn1 Sn 0.5000 0.5000 0.5000
```

No. 2
Density functional theory data (PBE-GGA) for an optimized crystal structure of Tb2Pm3NpN6.

Calculated values
Symmetry: C2/m
Calculated total energy (eV for the cell shown): -104.24
Raw formation energy (eV/atom): -1.486

The structure in CIF format:
```
data_Tb2Pm3NpN6
_chemical_formula_sum 'Tb2 Pm3 Np1 N6'
_cell_length_a 6.1018
_cell_length_b 6.1018
_cell_length_c 6.1317
_cell_angle_alpha 99.55
_cell_angle_beta 99.55
_cell_angle_gamma 120.00
_space_group_name_H-M_alt 'P 1'
_space_group_IT_number 1
_space_group_name_Hall 'P 1'
loop_
_atom_site_label
_atom_site_type_symbol
_atom_site_fract_x
_atom_site_fract_y
_atom_site_fract_z
Tb1 Tb 0.1665 0.8335 0.0000
Tb2 Tb 0.8335 0.1665 0.0000
Pm1 Pm 0.0000 0.0000 0.5000
Pm2 Pm 0.3320 0.6680 0.5000
Pm3 Pm 0.6680 0.3320 0.5000
Np1 Np 0.5000 0.5000 0.0000
N1 N 0.1106 0.4239 0.7718
N2 N 0.2632 0.2632 0.2297
N3 N 0.4239 0.1106 0.7718
N4 N 0.5761 0.8894 0.2282
N5 N 0.7368 0.7368 0.7703
N6 N 0.8894 0.5761 0.2282
```

No. 3
Density functional theory data (PBE-GGA) for an optimized crystal structure of TbPr4Sm2Th.

Calculated values
Symmetry: P2/m
DFT formation energy (eV per atom): 0.1332
Calculated total energy (eV for the cell shown): -39.54

The structure in CIF format:
```
data_TbPr4Sm2Th
_chemical_formula_sum 'Tb1 Pr4 Sm2 Th1'
_cell_length_a 6.1187
_cell_length_b 6.1283
_cell_length_c 7.3533
_cell_angle_alpha 90.00
_cell_angle_beta 90.15
_cell_angle_gamma 90.00
_space_group_name_H-M_alt 'P 1'
_space_group_IT_number 1
_space_group_name_Hall 'P 1'
loop_
_atom_site_label
_atom_site_type_symbol
_atom_site_fract_x
_atom_site_fract_y
_atom_site_fract_z
Tb1 Tb 0.0000 0.0000 0.0000
Pr1 Pr 0.0000 0.5000 0.2555
Pr2 Pr 0.0000 0.5000 0.7445
Pr3 Pr 0.5002 0.0000 0.2555
Pr4 Pr 0.4998 0.0000 0.7445
Sm1 Sm 0.0000 0.0000 0.5000
Sm2 Sm 0.5000 0.5000 0.0000
Th1 Th 0.5000 0.5000 0.5000
```

No. 4
Density functional theory data (PBE-GGA) for an optimized crystal structure of AcLuAg.

Calculated values
Symmetry: I4mm
ΔE to the lowest computed polymorph (meV/atom): 0.0
DFT formation energy (eV per atom): -0.1407
Calculated total energy (eV for the cell shown): -11.90

The structure in CIF format:
```
data_AcLuAg
_chemical_formula_sum 'Ac1 Lu1 Ag1'
_cell_length_a 6.9664
_cell_length_b 6.9664
_cell_length_c 6.9664
_cell_angle_alpha 148.69
_cell_angle_beta 148.69
_cell_angle_gamma 44.87
_space_group_name_H-M_alt 'P 1'
_space_group_IT_number 1
_space_group_name_Hall 'P 1'
loop_
_atom_site_label
_atom_site_type_symbol
_atom_site_fract_x
_atom_site_fract_y
_atom_site_fract_z
Ac1 Ac 0.0000 0.0000 0.0000
Lu1 Lu 0.2923 0.2923 0.0000
Ag1 Ag 0.6812 0.6812 0.0000
```

No. 5
Density functional theory data (PBE-GGA) for an optimized crystal structure of Tb5PmSm5.

Calculated values
Symmetry: P-6m2
DFT formation energy (eV per atom): 0.3000
Calculated total energy (eV for the cell shown): -48.20

The structure in CIF format:
```
data_Tb5PmSm5
_chemical_formula_sum 'Tb5 Pm1 Sm5'
_cell_length_a 6.1360
_cell_length_b 6.1360
_cell_length_c 11.6707
_cell_angle_alpha 90.00
_cell_angle_beta 90.00
_cell_angle_gamma 120.00
_space_group_name_H-M_alt 'P 1'
_space_group_IT_number 1
_space_group_name_Hall 'P 1'
loop_
_atom_site_label
_atom_site_type_symbol
_atom_site_fract_x
_atom_site_fract_y
_atom_site_fract_z
Tb1 Tb 0.0000 0.0000 0.2343
Tb2 Tb 0.0000 0.0000 0.7657
Tb3 Tb 0.3352 0.1676 0.0000
Tb4 Tb 0.8324 0.1676 0.0000
Tb5 Tb 0.8324 0.6648 0.0000
Pm1 Pm 0.3333 0.6667 0.5000
Sm1 Sm 0.0000 0.0000 0.5000
Sm2 Sm 0.3333 0.6667 0.1776
Sm3 Sm 0.3333 0.6667 0.8224
Sm4 Sm 0.6667 0.3333 0.3431
Sm5 Sm 0.6667 0.3333 0.6569
```

No. 6
Density functional theory data (PBE-GGA) for an optimized crystal structure of Sr2TaS.

Calculated values
Symmetry: I-42d
Calculated total energy (eV for the cell shown): -38.73
Raw formation energy (eV/atom): -0.006

The structure in CIF format:
```
data_Sr2TaS
_chemical_formula_sum 'Sr4 Ta2 S2'
_cell_length_a 8.1424
_cell_length_b 8.1424
_cell_length_c 8.1424
_cell_angle_alpha 94.72
_cell_angle_beta 94.72
_cell_angle_gamma 146.66
_space_group_name_H-M_alt 'P 1'
_space_group_IT_number 1
_space_group_name_Hall 'P 1'
loop_
_atom_site_label
_atom_site_type_symbol
_atom_site_fract_x
_atom_site_fract_y
_atom_site_fract_z
Sr1 Sr 0.3750 0.2163 0.3413
Sr2 Sr 0.7837 0.1250 0.1587
Sr3 Sr 0.8750 0.0337 0.6587
Sr4 Sr 0.9663 0.6250 0.8413
Ta1 Ta 0.2500 0.7500 0.5000
Ta2 Ta 0.5000 0.5000 0.0000
S1 S 0.0000 0.0000 0.0000
S2 S 0.7500 0.2500 0.5000
```